Entry 1:
Material: Mg2BeIr
Method: DFT, PBE-GGA
State: relaxed

Lattice parameters (Å, degrees): 9.821 3.101 4.399 90.00 116.53 90.00
Space group Cm (No. 8)
Symmetry-distinct sites (fractional):
Mg 0.000 0.000 0.000 [2 per cell]
Mg 0.214 0.000 0.713 [2 per cell]
Be 0.263 0.500 0.260 [2 per cell]
Ir 0.447 0.000 0.447 [2 per cell]

=====

Entry 2:
Material: MgBeIr2
Method: DFT, PBE-GGA
State: relaxed

Lattice parameters (Å, degrees): 2.917 2.917 6.431 90.00 90.00 90.00
Space group P4mm (No. 99)
Symmetry-distinct sites (fractional):
Mg 0.000 0.000 0.000 [1 per cell]
Be 0.500 0.500 0.283 [1 per cell]
Ir 0.000 0.000 0.438 [1 per cell]
Ir 0.500 0.500 0.732 [1 per cell]

=====

Entry 3:
Material: MgBeIr3
Method: DFT, PBE-GGA
State: relaxed

Lattice parameters (Å, degrees): 4.454 4.454 4.454 90.00 90.00 90.00
Space group Pm-3m (No. 221)
Symmetry-distinct sites (fractional):
Mg 0.000 0.000 0.000 [1 per cell]
Be 0.500 0.500 0.500 [1 per cell]
Ir 0.000 0.000 0.500 [3 per cell]

=====

Uncorrected energy in eV per cell, matching the order above: -33.799 -23.891 -22.787
Calculated volume in Å³/atom, matching the order above: 14.98 13.68 17.67